A plane-wave DFT calculation with GGA-PBE was carried out for crystalline LaHg2Au at its relaxed geometry.

Cell: 6.0622 11.8172 4.3249 Å, 90.00 133.56 90.00°
With the nearest neighbours (Å) after each atom.
Space group C2/m (No. 12)
One atom of each set of equivalent atoms:
La (0.0000, 0.0000, 0.0000)  4 Au 3.03-3.13, 4 Hg 3.34
Hg (0.2500, 0.2500, 0.5000)  4 Hg 3.03-3.13, 2 La 3.34, 2 Au 3.34
Au (0.0000, 0.5000, 0.0000)  4 La 3.03-3.13, 4 Hg 3.34

Calculated values
E: -2.47 eV per atom
formation enthalpy at 0 K: -0.27 eV per atom

A plane-wave DFT calculation with GGA-PBE was carried out for crystalline Mg2ZnIr at its relaxed geometry.

Cell: 6.3365 6.3365 6.3365 Å, 90.00 90.00 90.00°
With the nearest neighbours (Å) after each atom.
Space group F-43m (No. 216)
One atom of each set of equivalent atoms:
Mg (0.0000, 0.0000, 0.0000)  4 Mg 2.74, 4 Ir 2.74
Mg (0.2500, 0.2500, 0.2500)  4 Mg 2.74, 4 Zn 2.74
Zn (0.0000, 0.0000, 0.5000)  4 Mg 2.74, 4 Ir 2.74
Ir (0.2500, 0.2500, 0.7500)  4 Mg 2.74, 4 Zn 2.74

Calculated values
E: -3.60 eV per atom
formation enthalpy at 0 K: -0.26 eV per atom

A plane-wave DFT calculation with GGA-PBE was carried out for crystalline NdMg10Cd2 at its relaxed geometry.

Cell: 5.9792 14.2606 14.3490 Å, 90.00 90.00 90.00°
With the nearest neighbours (Å) after each atom.
Space group Fmmm (No. 69)
One atom of each set of equivalent atoms:
Nd (0.0000, 0.0000, 0.0000)  16 Mg 3.54-3.89, 4 Cd 3.87
Mg (0.0000, 0.1078, 0.3946)  2 Cd 2.94, 5 Mg 2.98-3.22
Mg (0.0000, 0.1768, 0.1735)  7 Mg 3.03-3.32, 2 Cd 3.09
Mg (0.2500, 0.0000, 0.2500)  10 Mg 2.98-3.13
Cd (0.2500, 0.2500, 0.0000)  8 Mg 2.94-3.09, 2 Cd 2.99

Calculated values
E: -1.83 eV per atom
formation enthalpy at 0 K: -0.10 eV per atom

A plane-wave DFT calculation with GGA-PBE was carried out for crystalline CdCo2Ni at its relaxed geometry.

Cell: 8.5085 2.6741 4.7661 Å, 90.00 100.60 90.00°
With the nearest neighbours (Å) after each atom.
Space group Cm (No. 8)
One atom of each set of equivalent atoms:
Cd (0.0000, 0.0000, 0.0000)  3 Ni 2.62-2.70, 2 Cd 2.67, 7 Co 2.71-2.78
Co (0.9998, 0.5000, 0.5051)  5 Co 2.45-2.67, 3 Ni 2.52-2.65, 2 Cd 2.71
Co (0.2380, 0.0000, 0.6906)  2 Ni 2.44, 5 Co 2.45-2.67, 1 Cd 2.72
Ni (0.2594, 0.5000, 0.2723)  5 Co 2.44-2.65, 3 Cd 2.62-2.70, 2 Ni 2.67

Calculated values
polymorph energy (0 for the lowest one): 39 kJ/mol of formula units
E: -4.97 eV per atom
formation enthalpy at 0 K: 0.26 eV per atom

A plane-wave DFT calculation with GGA-PBE was carried out for crystalline Pr8Si3SnI4 at its relaxed geometry.

Cell: 8.8448 8.8448 23.3285 Å, 90.00 90.00 120.00°
With the nearest neighbours (Å) after each atom.
Space group R-3m (No. 166, hexagonal axes)
One atom of each set of equivalent atoms:
Pr (0.0000, 0.0000, 0.2322)  3 Si 2.98
Pr (0.0144, 0.5072, 0.7657)  2 Si 2.96, 1 Sn 3.10
Si (0.0000, 0.5000, 0.5000)  6 Pr 2.96-2.98
Sn (0.0000, 0.0000, 0.5000)  6 Pr 3.10
I (0.0000, 0.0000, 0.0000)  6 Pr 3.36
I (0.0000, 0.5000, 0.0000)  6 Pr 3.48-3.49

Calculated values
E: -4.98 eV per atom
uncorrected formation energy: -1443 kJ/mol of formula units

A plane-wave DFT calculation with GGA-PBE was carried out for crystalline RbMgIn2Bi2 at its relaxed geometry.

Cell: 5.3557 5.3557 8.4925 Å, 90.00 90.00 120.00°
With the nearest neighbours (Å) after each atom.
Space group P-3m1 (No. 164)
One atom of each set of equivalent atoms:
Rb (0.0000, 0.0000, 0.0000)  6 Bi 3.92, 2 Mg 4.25, 6 In 4.29
Mg (0.0000, 0.0000, 0.5000)  6 In 3.34, 6 Bi 3.60
In (0.3333, 0.6667, 0.6501)  4 Bi 3.11-3.14, 3 Mg 3.34
Bi (0.3333, 0.6667, 0.2840)  4 In 3.11-3.14

Calculated values
E: -2.79 eV per atom
formation enthalpy at 0 K: -0.16 eV per atom

A plane-wave DFT calculation with GGA-PBE was carried out for crystalline YTl3I at its relaxed geometry.

Cell: 6.1489 6.1489 6.1489 Å, 90.00 90.00 90.00°
With the nearest neighbours (Å) after each atom.
Space group Pm-3m (No. 221)
One atom of each set of equivalent atoms:
Y (0.0000, 0.0000, 0.0000)  12 Tl 4.35
Tl (0.0000, 0.5000, 0.5000)  2 I 3.07
I (0.5000, 0.5000, 0.5000)  6 Tl 3.07

Calculated values
polymorph energy (0 for the lowest one): 106 kJ/mol of formula units
E: -2.52 eV per atom
uncorrected formation energy: 243 kJ/mol of formula units

A plane-wave DFT calculation with GGA-PBE was carried out for crystalline TiSN2O at its relaxed geometry.

Cell: 3.6126 3.6126 3.5707 Å, 90.00 90.00 90.00°
With the nearest neighbours (Å) after each atom.
Space group P4/mmm (No. 123)
One atom of each set of equivalent atoms:
Ti (0.0000, 0.0000, 0.0000)  8 N 2.54, 4 O 2.55
S (0.5000, 0.5000, 0.5000)  2 O 1.79, 4 N 1.81
N (0.0000, 0.5000, 0.5000)  2 S 1.81
O (0.5000, 0.5000, 0.0000)  2 S 1.79

Calculated values
E: -6.24 eV per atom
uncorrected formation energy: 233 kJ/mol of formula units